Entry 1:
# Tl2CrCu2Br6 | the Alexandria database | PBE | optimized geometry
data_Tl2CrCu2Br6
_chemical_formula_sum 'Tl2 Cr1 Cu2 Br6'
_space_group_name_H-M_alt 'P 1'
_space_group_IT_number 1
_space_group_name_Hall 'P 1'
_cell_length_a 7.949
_cell_length_b 7.949
_cell_length_c 7.721
_cell_angle_alpha 117.99
_cell_angle_beta 117.99
_cell_angle_gamma 54.42
loop_
_atom_site_label
_atom_site_type_symbol
_atom_site_fract_x
_atom_site_fract_y
_atom_site_fract_z
Tl1 Tl 0.240 0.240 0.223
Tl2 Tl 0.760 0.760 0.777
Cr1 Cr 0.000 0.000 0.500
Cu1 Cu 0.433 0.433 0.722
Cu2 Cu 0.567 0.567 0.278
Br1 Br 0.190 0.708 0.225
Br2 Br 0.255 0.255 0.668
Br3 Br 0.292 0.810 0.775
Br4 Br 0.708 0.190 0.225
Br5 Br 0.745 0.745 0.332
Br6 Br 0.810 0.292 0.775
# Electronic total energy: -38.540 eV per cell
# E_form (uncorrected): -0.54 eV/atom


Entry 2:
# V2CrCuBr | the Alexandria database | PBE | optimized geometry
data_V2CrCuBr
_chemical_formula_sum 'V2 Cr1 Cu1 Br1'
_space_group_name_H-M_alt 'P 1'
_space_group_IT_number 1
_space_group_name_Hall 'P 1'
_cell_length_a 3.006
_cell_length_b 3.833
_cell_length_c 7.635
_cell_angle_alpha 97.18
_cell_angle_beta 95.47
_cell_angle_gamma 90.52
loop_
_atom_site_label
_atom_site_type_symbol
_atom_site_fract_x
_atom_site_fract_y
_atom_site_fract_z
V1 V 0.000 0.000 0.000
V2 V 0.444 0.529 0.153
Cr1 Cr 0.573 0.465 0.884
Cu1 Cu 0.955 0.069 0.321
Br1 Br 0.009 0.112 0.654
# Fermi-level density of states: 3.4 states/eV/f.u.
# Energy above the lowest structure with this stoichiometry: 104 meV/atom
# Electronic total energy: -32.052 eV per cell
# E_form (uncorrected): 0.32 eV/atom